# 1
Below is crystalline NpP2Ru2 at its relaxed geometry, with properties calculated at the GGA-PBE level.

a = 4.006 Å, b = 4.006 Å, c = 4.894 Å
α = 90.00°, β = 90.00°, γ = 90.00°
Positions (direct):
Np 0.000 0.000 0.000
P 0.500 0.500 0.228
P 0.500 0.500 0.772
Ru 0.000 0.500 0.500
Ru 0.500 0.000 0.500

Computed properties:
**E_tot**: -45.27 eV for the cell shown
**Total magnetic moment**: 3.4 μB per formula unit
**DFT formation energy**: -13.65 kcal/mol of atoms

***

# 2
Below is crystalline NpPRuSe at its relaxed geometry, with properties calculated at the GGA-PBE level.

a = 4.071 Å, b = 4.071 Å, c = 9.094 Å
α = 90.00°, β = 90.00°, γ = 90.00°
Positions (direct):
Np 0.250 0.250 0.231
Np 0.750 0.750 0.769
P 0.250 0.250 0.636
P 0.750 0.750 0.364
Ru 0.250 0.750 0.500
Ru 0.750 0.250 0.500
Se 0.250 0.750 0.000
Se 0.750 0.250 0.000

Computed properties:
**E_tot**: -67.96 eV for the cell shown
**Total magnetic moment**: 3.9 μB per formula unit

***

# 3
Below is crystalline NpVP2Ru at its relaxed geometry, with properties calculated at the GGA-PBE level.

a = 5.801 Å, b = 5.801 Å, c = 5.801 Å
α = 140.34°, β = 140.34°, γ = 57.34°
Positions (direct):
Np 0.000 0.000 0.000
V 0.750 0.250 0.500
P 0.382 0.382 0.000
P 0.618 0.618 0.000
Ru 0.250 0.750 0.500

Computed properties:
**E_tot**: -45.51 eV for the cell shown
**Total magnetic moment**: 5.1 μB per formula unit
**DFT formation energy**: -15.49 kcal/mol of atoms